Entry i
Entry from the Alexandria database: a relaxed structure of Sr3Li4Au4 (GGA-PBE).

abc: 4.3039 4.4524 14.3710
angles: 81.09 81.49 90.00
With the nearest neighbours (Å) after each atom.
Space group P-1 (No. 2)
Unique sites:
Sr  0.0000  0.0000  0.0000 [1 per cell]  8 Au 3.40-3.42, 4 Li 3.50
Sr  0.1479  0.6485  0.7048 [2 per cell]  6 Au 3.33-3.47, 8 Li 3.39-3.64
Li  0.2501  0.2500  0.4996 [2 per cell]  4 Au 2.70-2.76
Li  0.4012  0.9007  0.1967 [2 per cell]  3 Au 2.59-2.63
Au  0.3072  0.8075  0.3840 [2 per cell]  5 Li 2.63-2.76
Au  0.4507  0.4478  0.1017 [2 per cell]  2 Li 2.59-2.60, 1 Au 2.86

Computed properties:
Total magnetization (Bohr magnetons per cell): 0.00
N(E_F) (states/eV/cell): 4.20



Entry ii
Entry from the Alexandria database: a relaxed structure of Sr3Li4Au4 (GGA-PBE).

abc: 4.4497 7.7667 15.2612
angles: 90.00 90.00 90.00
With the nearest neighbours (Å) after each atom.
Space group Immm (No. 71)
Unique sites:
Sr  0.0000  0.0000  0.0000 [2 per cell]  6 Au 3.27-3.32
Sr  0.0000  0.5000  0.1256 [4 per cell]  6 Au 3.27-3.29, 6 Li 3.36-3.38
Li  0.0000  0.3095  0.3248 [8 per cell]  4 Au 2.75-2.91, 1 Li 2.96
Au  0.0000  0.0000  0.2176 [4 per cell]  6 Li 2.75-2.91
Au  0.0000  0.1909  0.5000 [4 per cell]  2 Li 2.83, 1 Au 2.97

Computed properties:
Total magnetization (Bohr magnetons per cell): 0.00
N(E_F) (states/eV/cell): 8.17



Ordering by calculated energy gives the sequence entry ii, entry i, with the first entry being the most stable.